(1)
VASP calculation (PBE) on a geometry-optimized SiTe2Br structure.

Values from the calculation:
Its uncorrected formation energy is 1.86 eV/f.u.

Cell: 5.840 12.944 3.035 Å, 90.00 90.00 90.00°
Fractional positions:
1 Si 0.000 0.000 0.000
2 Si 0.500 0.500 0.000
3 Te 0.250 0.250 0.500
4 Te 0.250 0.750 0.500
5 Te 0.750 0.250 0.500
6 Te 0.750 0.750 0.500
7 Br 0.000 0.500 0.000
8 Br 0.500 0.000 0.000

---

(2)
VASP calculation (PBE) on a geometry-optimized SiTe4Br structure.

Values from the calculation:
Its uncorrected formation energy is 3.37 eV/f.u.

Cell: 6.295 6.295 6.295 Å, 60.00 60.00 60.00°
Fractional positions:
1 Si 0.000 0.000 0.000
2 Te 0.123 0.626 0.626
3 Te 0.626 0.123 0.626
4 Te 0.626 0.626 0.123
5 Te 0.626 0.626 0.626
6 Br 0.250 0.250 0.250

---

(3)
VASP calculation (PBE) on a geometry-optimized SiTe2Br structure.

Values from the calculation:
Its uncorrected formation energy is 1.69 eV/f.u.

Cell: 3.939 4.550 6.184 Å, 90.00 90.00 90.00°
Fractional positions:
1 Si 0.000 0.000 0.000
2 Te 0.000 0.500 0.500
3 Te 0.500 0.000 0.500
4 Br 0.500 0.500 0.000

---

(4)
VASP calculation (PBE) on a geometry-optimized SiTe2Br structure.

Values from the calculation:
Its uncorrected formation energy is 0.21 eV/f.u.

Cell: 3.997 3.997 26.435 Å, 90.00 90.00 120.00°
Fractional positions:
1 Si 0.000 0.000 0.000
2 Si 0.333 0.667 0.667
3 Si 0.667 0.333 0.333
4 Te 0.000 0.000 0.393
5 Te 0.000 0.000 0.607
6 Te 0.333 0.667 0.059
7 Te 0.333 0.667 0.274
8 Te 0.667 0.333 0.726
9 Te 0.667 0.333 0.941
10 Br 0.000 0.000 0.500
11 Br 0.333 0.667 0.167
12 Br 0.667 0.333 0.833